La3SnHg2 | PBE-GGA | optimized geometry

Results
space-group type = Cmmm (65)
uncorrected energy = -3.83 eV per atom
distance to the lowest polymorph of the same formula = 0.000 eV/atom
energy relative to the elements = -3.57 eV/f.u.

Cell lengths 3.8567, 5.5701, 8.9107 Å; angles 108.21, 90.00, 90.00 degrees
Last column: nearest neighbours and their distance in Å.
Fractional positions:
La: 0.5000 0.5000 0.0000  4 Sn 3.39, 4 Hg 3.55
La: 0.5000 0.8365 0.6730  6 Hg 3.33-3.39, 2 Sn 3.37
La: 0.5000 0.1635 0.3270  6 Hg 3.33-3.39, 2 Sn 3.37
Sn: 0.0000 0.0000 0.0000  8 La 3.37-3.39
Hg: 0.0000 0.3240 0.6479  8 La 3.33-3.55
Hg: 0.0000 0.6760 0.3521  8 La 3.33-3.55

***

La7Sn2Hg2 | PBE-GGA | optimized geometry

Results
space-group type = Cmmm (65)
uncorrected energy = -4.19 eV per atom
energy relative to the elements = -2.99 eV/f.u.

Cell lengths 7.2857, 7.5555, 7.2857 Å; angles 90.00, 107.54, 90.00 degrees
Last column: nearest neighbours and their distance in Å.
Fractional positions:
La: 0.9998 0.2985 0.5003  1 La 3.04, 2 Hg 3.14, 2 Sn 3.38
La: 0.5003 0.7015 0.9998  1 La 3.04, 2 Hg 3.14, 2 Sn 3.38
La: 0.0002 0.7015 0.4997  1 La 3.04, 2 Hg 3.14, 2 Sn 3.38
La: 0.4997 0.2985 0.0002  1 La 3.04, 2 Hg 3.14, 2 Sn 3.38
La: 0.0000 0.0000 0.0000  2 Hg 3.29
La: 0.5002 0.7410 0.4998  2 Hg 3.25, 2 Sn 3.38
La: 0.4998 0.2590 0.5002  2 Hg 3.25, 2 Sn 3.38
Sn: 0.8303 0.5000 0.8303  1 Sn 2.92
Sn: 0.1697 0.5000 0.1697  1 Sn 2.92
Hg: 0.7205 0.0000 0.2795  7 La 3.14-3.29
Hg: 0.2795 0.0000 0.7205  7 La 3.14-3.29

***

SrLa2Sn2Hg2 | PBE-GGA | optimized geometry

Results
space-group type = R-3m (166)
uncorrected energy = -3.30 eV per atom
energy relative to the elements = -2.95 eV/f.u.

Cell lengths 5.1548, 5.1548, 10.1286 Å; angles 75.26, 75.26, 60.00 degrees
Last column: nearest neighbours and their distance in Å.
Fractional positions:
Sr: 0.0000 0.0000 0.0000  6 Sn 3.65, 2 La 3.83, 6 Hg 4.02
La: 0.1317 0.1317 0.6049  3 Hg 3.18, 3 Sn 3.43
La: 0.8683 0.8683 0.3951  3 Hg 3.18, 3 Sn 3.43
Sn: 0.7395 0.7395 0.7816  3 Hg 3.03
Sn: 0.2605 0.2605 0.2184  3 Hg 3.03
Hg: 0.5738 0.5738 0.2786  3 Sn 3.03, 3 La 3.18
Hg: 0.4262 0.4262 0.7214  3 Sn 3.03, 3 La 3.18

***

La2TaSnHg | PBE-GGA | optimized geometry

Results
space-group type = P4/mmm (123)
uncorrected energy = -4.22 eV per atom
energy relative to the elements = 4.91 eV/f.u.

Cell lengths 5.9040, 5.2316, 5.9040 Å; angles 90.00, 90.00, 90.00 degrees
Last column: nearest neighbours and their distance in Å.
Fractional positions:
La: 0.0000 0.0000 0.5000  2 Hg 2.95
La: 0.5000 0.0000 0.0000  2 Hg 2.95
Hg: 0.0000 0.0000 0.0000  2 Sn 2.62
Sn: 0.0000 0.5000 0.0000  2 Hg 2.62
Ta: 0.5000 0.5000 0.5000  8 La 3.94, 4 Sn 4.17

***

LaTaSnHg2 | PBE-GGA | optimized geometry

Results
space-group type = P4/mmm (123)
uncorrected energy = -3.68 eV per atom
energy relative to the elements = 3.01 eV/f.u.

Cell lengths 5.4284, 5.3596, 5.4284 Å; angles 90.00, 90.00, 90.00 degrees
Last column: nearest neighbours and their distance in Å.
Fractional positions:
La: 0.0000 0.5000 0.0000  2 Ta 2.68
Hg: 0.0000 0.0000 0.5000  2 Ta 2.71
Hg: 0.5000 0.0000 0.0000  2 Ta 2.71
Sn: 0.5000 0.5000 0.5000  8 Hg 3.81, 4 La 3.84
Ta: 0.0000 0.0000 0.0000  2 La 2.68, 4 Hg 2.71

***

LaTbSnHg | PBE-GGA | optimized geometry

Results
space-group type = F-43m (216)
uncorrected energy = -4.07 eV per atom
energy relative to the elements = -2.42 eV/f.u.

Cell lengths 5.4335, 5.4335, 5.4335 Å; angles 60.00, 60.00, 60.00 degrees
Last column: nearest neighbours and their distance in Å.
Fractional positions:
Tb: 0.0000 0.0000 0.0000  4 Hg 3.33, 4 Sn 3.33
Hg: 0.7500 0.7500 0.7500  4 La 3.33, 4 Tb 3.33
Sn: 0.2500 0.2500 0.2500  4 Tb 3.33, 4 La 3.33
La: 0.5000 0.5000 0.5000  4 Hg 3.33, 4 Sn 3.33

***

LaTb2Sn2Hg2 | PBE-GGA | optimized geometry

Results
space-group type = R-3m (166)
uncorrected energy = -3.64 eV per atom
energy relative to the elements = -2.69 eV/f.u.

Cell lengths 5.0275, 5.0275, 9.5092 Å; angles 74.67, 74.67, 60.00 degrees
Last column: nearest neighbours and their distance in Å.
Fractional positions:
La: 0.0000 0.0000 0.0000  6 Sn 3.43, 2 Tb 3.59
Tb: 0.1320 0.1320 0.6039  3 Hg 3.03
Tb: 0.8680 0.8680 0.3961  3 Hg 3.03
Sn: 0.7337 0.7337 0.7989  3 Hg 3.04, 3 Tb 3.40
Sn: 0.2663 0.2663 0.2011  3 Hg 3.04, 3 Tb 3.40
Hg: 0.5664 0.5664 0.3008  3 Tb 3.03, 3 Sn 3.04
Hg: 0.4336 0.4336 0.6992  3 Tb 3.03, 3 Sn 3.04

***

LaThSnHg | PBE-GGA | optimized geometry

Results
space-group type = P4mm (99)
uncorrected energy = -4.64 eV per atom
distance to the lowest polymorph of the same formula = 0.000 eV/atom
energy relative to the elements = -1.92 eV/f.u.

Cell lengths 4.1088, 4.1088, 6.9658 Å; angles 90.00, 90.00, 90.00 degrees
Last column: nearest neighbours and their distance in Å.
Fractional positions:
La: 0.0000 0.0000 0.8643  2 Th 3.34-3.62, 4 Sn 3.41, 4 Hg 3.45
Th: 0.0000 0.0000 0.3444  4 Sn 3.30, 2 La 3.34-3.62, 4 Hg 3.40
Sn: 0.5000 0.5000 0.1211  4 Th 3.30, 2 Hg 3.32-3.64, 4 La 3.41
Hg: 0.5000 0.5000 0.5982  2 Sn 3.32-3.64, 4 Th 3.40, 4 La 3.45

***

LaThSnHg | PBE-GGA | optimized geometry

Results
space-group type = F-43m (216)
uncorrected energy = -4.61 eV per atom
distance to the lowest polymorph of the same formula = 0.030 eV/atom
energy relative to the elements = -1.80 eV/f.u.

Cell lengths 5.4995, 5.4995, 5.4995 Å; angles 60.00, 60.00, 60.00 degrees
Last column: nearest neighbours and their distance in Å.
Fractional positions:
Sn: 0.2500 0.2500 0.2500  4 La 3.37, 4 Th 3.37
Hg: 0.7500 0.7500 0.7500  4 Th 3.37, 4 La 3.37
Th: 0.5000 0.5000 0.5000  4 Hg 3.37, 4 Sn 3.37
La: 0.0000 0.0000 0.0000  4 Hg 3.37, 4 Sn 3.37

***

La4Tl2SnHg | PBE-GGA | optimized geometry

Results
space-group type = R-3m (166)
uncorrected energy = -4.12 eV per atom
energy relative to the elements = -4.19 eV/f.u.

Cell lengths 5.5976, 5.5976, 9.7140 Å; angles 73.25, 73.25, 60.00 degrees
Last column: nearest neighbours and their distance in Å.
Fractional positions:
La: 0.3776 0.3776 0.8671  4 Tl 3.34-3.36, 1 Sn 3.36, 3 Hg 3.45
La: 0.8732 0.8732 0.3804  3 Sn 3.41, 1 Hg 3.49, 4 Tl 3.51-3.55
La: 0.1268 0.1268 0.6196  3 Sn 3.41, 1 Hg 3.49, 4 Tl 3.51-3.55
La: 0.6224 0.6224 0.1329  4 Tl 3.34-3.36, 1 Sn 3.36, 3 Hg 3.45
Tl: 0.7439 0.7439 0.7682  8 La 3.34-3.55
Tl: 0.2561 0.2561 0.2318  8 La 3.34-3.55
Sn: 0.5000 0.5000 0.5000  8 La 3.36-3.41
Hg: 0.0000 0.0000 0.0000  8 La 3.45-3.49, 6 Tl 3.87

***

LaTmSnHg | PBE-GGA | optimized geometry

Results
space-group type = F-43m (216)
uncorrected energy = -4.00 eV per atom
energy relative to the elements = -2.29 eV/f.u.

Cell lengths 5.3944, 5.3944, 5.3944 Å; angles 60.00, 60.00, 60.00 degrees
Last column: nearest neighbours and their distance in Å.
Fractional positions:
Tm: 0.0000 0.0000 0.0000  4 Hg 3.30, 4 Sn 3.30
Hg: 0.7500 0.7500 0.7500  4 Tm 3.30, 4 La 3.30
Sn: 0.2500 0.2500 0.2500  4 Tm 3.30, 4 La 3.30
La: 0.5000 0.5000 0.5000  4 Sn 3.30, 4 Hg 3.30

***

LaTm2Sn2Hg2 | PBE-GGA | optimized geometry

Results
space-group type = R-3m (166)
uncorrected energy = -3.57 eV per atom
energy relative to the elements = -2.53 eV/f.u.

Cell lengths 5.0193, 5.0193, 9.3348 Å; angles 74.40, 74.40, 60.00 degrees
Last column: nearest neighbours and their distance in Å.
Fractional positions:
La: 0.0000 0.0000 0.0000  6 Sn 3.43, 2 Tm 3.53
Tm: 0.1326 0.1326 0.6021  3 Hg 3.00, 3 Sn 3.36
Tm: 0.8674 0.8674 0.3979  3 Hg 3.00, 3 Sn 3.36
Sn: 0.7353 0.7353 0.7942  3 Hg 3.04, 3 Tm 3.36
Sn: 0.2647 0.2647 0.2058  3 Hg 3.04, 3 Tm 3.36
Hg: 0.5637 0.5637 0.3088  3 Tm 3.00, 3 Sn 3.04
Hg: 0.4363 0.4363 0.6912  3 Tm 3.00, 3 Sn 3.04